Computed, not measured: crystalline HoSc3In2 at its relaxed geometry at the PBE-GGA level of DFT.

Summary:
DFT formation energy ... -0.28 eV per atom
Calculated volume ... 24.7 Å³ per atom
Crystal system ... orthorhombic

Cell lengths 8.5108, 3.2898, 21.1961 Å; angles 90.00, 90.00, 90.00 degrees
Space group Pnma (No. 62)
Unique sites:
Ho: 0.1554 0.2500 0.1624
Sc: 0.0456 0.2500 0.4227
Sc: 0.1080 0.2500 0.9347
Sc: 0.2152 0.7500 0.8081
In: 0.0224 0.2500 0.7104
In: 0.2463 0.2500 0.5401

---

Computed, not measured: crystalline Ho7Sc2In at its relaxed geometry at the PBE-GGA level of DFT.

Summary:
DFT formation energy ... 0.55 eV per atom
Calculated volume ... 34.7 Å³ per atom
Crystal system ... orthorhombic

Cell lengths 8.6159, 15.2429, 5.2821 Å; angles 90.00, 90.00, 90.00 degrees
Space group Cmmm (No. 65)
Unique sites:
Ho: 0.0000 0.0000 0.0000
Ho: 0.0000 0.2827 0.5000
Ho: 0.1797 0.3876 0.0000
Sc: 0.0000 0.2079 0.0000
In: 0.0000 0.5000 0.5000